DFT (SCAN) results for a crystal of TcSb2Br relaxed with PBEsol.

abc: 3.290 3.290 7.866
angles: 90.00 90.00 90.00
Space group P4/mmm (No. 123)
Unique sites:
1 Tc 0.000 0.000 0.000 (multiplicity 1)
2 Sb 0.500 0.500 0.201 (multiplicity 2)
3 Br 0.000 0.000 0.500 (multiplicity 1)

Energy above the lowest structure with this stoichiometry, meV per atom: 0.0

***

DFT (SCAN) results for a crystal of TcSb2Br relaxed with PBEsol.

abc: 3.447 3.447 7.571
angles: 90.00 90.00 90.00
Space group P4mm (No. 99)
Unique sites:
1 Tc 0.000 0.000 0.000 (multiplicity 1)
2 Sb 0.000 0.000 0.607 (multiplicity 1)
3 Sb 0.500 0.500 0.853 (multiplicity 1)
4 Br 0.500 0.500 0.254 (multiplicity 1)

Energy above the lowest structure with this stoichiometry, meV per atom: 330.9

***

DFT (SCAN) results for a crystal of TcSbBr3 relaxed with PBEsol.

abc: 4.951 4.951 4.951
angles: 90.00 90.00 90.00
Space group Pm-3m (No. 221)
Unique sites:
1 Tc 0.000 0.000 0.000 (multiplicity 1)
2 Sb 0.500 0.500 0.500 (multiplicity 1)
3 Br 0.000 0.000 0.500 (multiplicity 3)

***

DFT (SCAN) results for a crystal of TcSbTe2Br relaxed with PBEsol.

abc: 5.122 5.122 5.215
angles: 90.00 90.00 90.00
Space group P4/mmm (No. 123)
Unique sites:
1 Tc 0.000 0.000 0.000 (multiplicity 1)
2 Sb 0.000 0.000 0.500 (multiplicity 1)
3 Te 0.000 0.500 0.000 (multiplicity 2)
4 Br 0.500 0.500 0.500 (multiplicity 1)

***

DFT (SCAN) results for a crystal of Sb2TeBr relaxed with PBEsol.

abc: 10.025 3.981 7.187
angles: 90.00 116.96 90.00
Space group C2/m (No. 12)
Unique sites:
1 Sb 0.228 0.000 0.325 (multiplicity 4)
2 Te 0.000 0.000 0.500 (multiplicity 2)
3 Br 0.000 0.500 0.000 (multiplicity 2)

Energy above the lowest structure with this stoichiometry, meV per atom: 0.0

***

DFT (SCAN) results for a crystal of Sb2TeBr relaxed with PBEsol.

abc: 7.801 9.315 3.224
angles: 90.00 90.00 90.00
Space group Cmmm (No. 65)
Unique sites:
1 Sb 0.250 0.250 0.000 (multiplicity 4)
2 Te 0.000 0.000 0.000 (multiplicity 2)
3 Br 0.000 0.500 0.000 (multiplicity 2)

Energy above the lowest structure with this stoichiometry, meV per atom: 68.9

***

DFT (SCAN) results for a crystal of Sb2TeBr relaxed with PBEsol.

abc: 5.300 5.300 3.695
angles: 90.00 90.00 90.00
Space group P4/mmm (No. 123)
Unique sites:
1 Sb 0.000 0.500 0.000 (multiplicity 2)
2 Te 0.000 0.000 0.500 (multiplicity 1)
3 Br 0.500 0.500 0.500 (multiplicity 1)

Energy above the lowest structure with this stoichiometry, meV per atom: 295.8

***

DFT (SCAN) results for a crystal of SbTe2WBr relaxed with PBEsol.

abc: 5.291 5.291 5.387
angles: 90.00 90.00 90.00
Space group P4/mmm (No. 123)
Unique sites:
1 Sb 0.000 0.000 0.000 (multiplicity 1)
2 Te 0.000 0.500 0.500 (multiplicity 2)
3 W 0.500 0.500 0.000 (multiplicity 1)
4 Br 0.000 0.000 0.500 (multiplicity 1)

***

DFT (SCAN) results for a crystal of Ti3SbBr relaxed with PBEsol.

abc: 5.158 5.158 5.158
angles: 90.00 90.00 90.00
Space group Pm-3m (No. 221)
Unique sites:
1 Ti 0.000 0.000 0.500 (multiplicity 3)
2 Sb 0.000 0.000 0.000 (multiplicity 1)
3 Br 0.500 0.500 0.500 (multiplicity 1)

***

DFT (SCAN) results for a crystal of TlSbBr relaxed with PBEsol.

abc: 5.3318 5.3318 3.3368
angles: 90.00 90.00 120.00
Space group P-6m2 (No. 187)
Unique sites:
1 Tl 0.0000 0.0000 0.0000 (multiplicity 1)
2 Sb 0.3333 0.6667 0.5000 (multiplicity 1)
3 Br 0.6667 0.3333 0.5000 (multiplicity 1)

Energy above the lowest structure with this stoichiometry, meV per atom: 0.0

***

DFT (SCAN) results for a crystal of Tl2Sb2Br relaxed with PBEsol.

abc: 4.192 4.192 18.055
angles: 90.00 90.00 90.00
Space group I4/mmm (No. 139)
Unique sites:
1 Tl 0.000 0.000 0.093 (multiplicity 4)
2 Sb 0.000 0.500 0.250 (multiplicity 4)
3 Br 0.000 0.000 0.500 (multiplicity 2)

***

DFT (SCAN) results for a crystal of TlSbBr relaxed with PBEsol.

abc: 7.223 7.223 7.223
angles: 90.00 90.00 90.00
Space group F-43m (No. 216)
Unique sites:
1 Tl 0.000 0.000 0.000 (multiplicity 4)
2 Sb 0.250 0.250 0.750 (multiplicity 4)
3 Br 0.000 0.000 0.500 (multiplicity 4)

Energy above the lowest structure with this stoichiometry, meV per atom: 104.0

***

| no. | electronic total energy (eV/cell) |
| --- | --- |
| 1 | -129.001 |
| 2 | -127.678 |
| 3 | -128.615 |
| 4 | -164.582 |
| 5 | -262.646 |
| 6 | -262.095 |
| 7 | -130.140 |
| 8 | -191.057 |
| 9 | -101.866 |
| 10 | -129.157 |
| 11 | -480.210 |
| 12 | -515.378 |